Computed, not measured: crystalline NbV4Ru2 at its relaxed geometry at the PBE level of DFT.

```
7
Lattice="4.508 0.000 0.000 0.000 4.508 0.000 2.254 2.254 6.214" Properties=species:S:1:pos:R:3 pbc="T T T"
Ru 2.254 2.254 1.446
Ru 4.508 4.508 4.768
Nb 0.000 0.000 0.000
V 2.254 2.254 3.682
V 4.508 4.508 2.532
V 0.000 2.254 0.000
V 2.254 0.000 0.000
```

Output
DFT formation energy, eV/atom: 1.11
Calculated volume, Å³ per cell: 126.3

=====

Computed, not measured: crystalline TbIn2Rh3 at its relaxed geometry at the PBE level of DFT.

```
12
Lattice="4.664 0.000 0.000 -2.332 4.039 0.000 0.000 0.000 11.430" Properties=species:S:1:pos:R:3 pbc="T T T"
Tb 0.000 2.693 7.651
Tb 2.332 1.346 3.778
In 0.000 0.000 5.715
In 0.000 2.693 1.899
In 2.332 1.346 9.531
In 0.000 0.000 0.000
Rh 0.000 2.693 4.757
Rh 2.332 1.346 0.878
Rh 0.000 0.000 8.684
Rh 0.000 0.000 2.746
Rh 0.000 2.693 10.552
Rh 2.332 1.346 6.672
```

Output
DFT formation energy, eV/atom: -0.64
Calculated volume, Å³ per cell: 215.3

=====

Computed, not measured: crystalline Sr2Au at its relaxed geometry at the PBE level of DFT.

```
24
Lattice="10.706 0.000 0.000 5.353 9.272 0.000 5.353 3.091 8.741" Properties=species:S:1:pos:R:3 pbc="T T T"
Au 16.059 9.272 7.143
Au 12.903 7.449 1.990
Au 10.706 3.644 1.990
Au 8.509 7.449 1.990
Au 5.353 3.091 1.598
Au 8.509 4.913 6.752
Au 10.706 8.718 6.752
Au 12.903 4.913 6.752
Sr 2.676 4.636 0.000
Sr 5.353 0.000 0.000
Sr 8.029 4.636 0.000
Sr 10.706 6.181 4.371
Sr 19.370 11.183 7.130
Sr 16.059 5.448 7.130
Sr 12.748 11.183 7.130
Sr 14.017 4.269 3.796
Sr 10.706 10.004 3.796
Sr 7.395 4.269 3.796
Sr 2.042 1.179 1.611
Sr 5.353 6.914 1.611
Sr 8.664 1.179 1.611
Sr 7.395 8.093 4.945
Sr 10.706 2.358 4.945
Sr 14.017 8.093 4.945
```

Output
DFT formation energy, eV/atom: -0.48
Calculated volume, Å³ per cell: 867.7

=====

Computed, not measured: crystalline Pu3OsRu2 at its relaxed geometry at the PBE level of DFT.

```
12
Lattice="-3.318 0.361 1.011 0.759 -2.996 3.559 3.701 10.792 8.296" Properties=species:S:1:pos:R:3 pbc="T T T"
Pu 1.189 5.871 7.811
Pu 0.197 5.576 4.652
Pu -0.041 2.284 5.054
Pu -1.047 1.974 1.885
Pu -1.284 -1.317 2.287
Pu 1.424 9.179 7.424
Os -1.083 4.258 6.937
Os -0.005 0.000 0.001
Ru -0.841 7.574 6.555
Ru -2.088 3.939 3.761
Ru 1.000 0.319 3.177
Ru 3.455 7.477 8.679
```

Output
DFT formation energy, eV/atom: -0.08
Calculated volume, Å³ per cell: 231.9

=====

Computed, not measured: crystalline AlZnTe2 at its relaxed geometry at the PBE level of DFT.

```
4
Lattice="4.255 -0.006 0.225 2.126 3.686 0.225 -0.389 -0.225 7.870" Properties=species:S:1:pos:R:3 pbc="T T T"
Zn 2.174 1.254 4.473
Te 0.246 0.142 0.612
Te 4.258 2.455 5.442
Al 2.311 1.332 1.952
```

Output
Raw formation energy, eV per atom: -0.23
Calculated volume, Å³ per cell: 124.0

=====

Computed, not measured: crystalline Ba2NpRhS5 at its relaxed geometry at the PBE level of DFT.

```
18
Lattice="-0.847 0.436 -4.076 2.292 -8.865 0.724 -12.247 -2.985 2.224" Properties=species:S:1:pos:R:3 pbc="T T T"
Ba -9.280 -8.910 -1.176
Ba -8.119 -4.230 1.234
Ba -3.726 -3.040 0.448
Ba -1.475 -6.889 -2.580
Np -5.703 -6.621 -1.673
Np 0.433 -3.444 -0.459
Rh -11.540 -3.735 -0.152
Rh -3.635 -8.744 -0.181
S 1.035 -5.975 -0.855
S -10.555 -5.842 -0.582
S -9.841 -2.112 -0.331
S -6.969 -7.277 0.668
S -4.743 -9.096 -2.138
S -6.201 -4.064 -1.296
S -3.614 -6.392 0.066
S -1.439 -9.418 -0.709
S -1.691 -3.614 -2.185
S -11.967 -3.757 2.083
```

Output
Raw formation energy, eV per atom: -1.41
Calculated volume, Å³ per cell: 479.1

=====

Computed, not measured: crystalline SrCd9Au3 at its relaxed geometry at the PBE level of DFT.

```
13
Lattice="-3.697 3.545 2.388 -4.915 -3.666 4.776 2.669 2.813 6.641" Properties=species:S:1:pos:R:3 pbc="T T T"
Sr 0.000 0.000 0.000
Cd -4.415 1.842 10.672
Cd -1.528 0.851 3.134
Cd -0.811 3.214 7.421
Cd -5.132 -0.522 6.385
Cd -3.116 1.990 5.547
Cd -2.827 0.703 8.259
Cd -2.280 -1.370 5.495
Cd -3.663 4.062 8.311
Cd -2.457 -1.833 2.388
Au -4.306 -0.060 3.582
Au 1.334 1.407 3.321
Au -0.514 3.179 4.515
```

Output
DFT formation energy, eV/atom: -0.22
Calculated volume, Å³ per cell: 290.9

=====

Computed, not measured: crystalline CaAl2In at its relaxed geometry at the PBE level of DFT.

```
4
Lattice="3.608 -0.044 0.000 -0.110 3.607 0.000 0.000 0.000 7.110" Properties=species:S:1:pos:R:3 pbc="T T T"
Ca 0.000 0.000 3.454
Al 0.000 0.000 0.175
Al 1.749 1.781 1.399
In 1.749 1.781 5.637
```

Output
DFT formation energy, eV/atom: -0.13
Calculated volume, Å³ per cell: 92.5

=====

no.,spin magnetization (μB per formula unit),E (eV/atom)
1,3.59,-8.194
2,0.00,-5.996
3,0.07,-2.697
4,12.92,-12.210
5,0.00,-3.054
6,3.47,-6.380
7,0.00,-1.736
8,0.00,-3.187